# 1
The following is a PBE calculation of an optimized crystal structure of UCoHg, from OQMD.

Cell lengths 4.6864, 4.6864, 4.6864 Å; angles 60.00, 60.00, 60.00 degrees
Last column: nearest neighbours and their distance in Å.
Element x y z (fractional)
U (0.0000, 0.0000, 0.0000)  4 Co 2.87, 4 Hg 2.87
Co (0.7500, 0.7500, 0.7500)  4 U 2.87
Hg (0.2500, 0.2500, 0.2500)  4 U 2.87

E_form = 963 meV per atom



# 2
The following is a PBE calculation of an optimized crystal structure of Co14Ni, from OQMD.

Cell lengths 8.5368, 8.5368, 4.4927 Å; angles 90.00, 90.00, 90.00 degrees
Last column: nearest neighbours and their distance in Å.
Element x y z (fractional)
Co (0.0375, 0.3660, 0.0000)  6 Co 2.35-2.42
Co (0.0665, 0.2640, 0.5000)  1 Ni 2.32, 9 Co 2.38-2.50
Co (0.0976, 0.0976, 0.0000)  3 Co 2.35-2.36, 2 Ni 2.54
Co (0.1340, 0.5375, 0.5000)  6 Co 2.35-2.42
Co (0.1823, 0.8177, 0.2496)  6 Co 2.24-2.50, 1 Ni 2.47
Co (0.1823, 0.8177, 0.7504)  6 Co 2.24-2.50, 1 Ni 2.47
Co (0.2360, 0.5665, 0.0000)  1 Ni 2.32, 9 Co 2.38-2.50
Co (0.2640, 0.0665, 0.5000)  1 Ni 2.32, 9 Co 2.38-2.50
Co (0.3177, 0.3177, 0.2504)  6 Co 2.24-2.50, 1 Ni 2.47
Co (0.3177, 0.3177, 0.7496)  6 Co 2.24-2.50, 1 Ni 2.47
Co (0.3660, 0.0375, 0.0000)  6 Co 2.35-2.42
Co (0.4024, 0.5976, 0.5000)  3 Co 2.35-2.36, 2 Ni 2.54
Co (0.4335, 0.7640, 0.0000)  1 Ni 2.32, 9 Co 2.38-2.50
Co (0.4625, 0.8660, 0.5000)  6 Co 2.35-2.42
Co (0.5375, 0.1340, 0.5000)  6 Co 2.35-2.42
Co (0.5665, 0.2360, 0.0000)  1 Ni 2.32, 9 Co 2.38-2.50
Co (0.5976, 0.4024, 0.5000)  3 Co 2.35-2.36, 2 Ni 2.54
Co (0.6340, 0.9625, 0.0000)  6 Co 2.35-2.42
Co (0.6823, 0.6823, 0.2504)  6 Co 2.24-2.50, 1 Ni 2.47
Co (0.6823, 0.6823, 0.7496)  6 Co 2.24-2.50, 1 Ni 2.47
Co (0.7360, 0.9335, 0.5000)  1 Ni 2.32, 9 Co 2.38-2.50
Co (0.7640, 0.4335, 0.0000)  1 Ni 2.32, 9 Co 2.38-2.50
Co (0.8177, 0.1823, 0.2496)  6 Co 2.24-2.50, 1 Ni 2.47
Co (0.8177, 0.1823, 0.7504)  6 Co 2.24-2.50, 1 Ni 2.47
Co (0.8660, 0.4625, 0.5000)  6 Co 2.35-2.42
Co (0.9024, 0.9024, 0.0000)  3 Co 2.35-2.36, 2 Ni 2.54
Co (0.9335, 0.7360, 0.5000)  1 Ni 2.32, 9 Co 2.38-2.50
Co (0.9625, 0.6340, 0.0000)  6 Co 2.35-2.42
Ni (0.0000, 0.0000, 0.5000)  12 Co 2.32-2.54
Ni (0.5000, 0.5000, 0.0000)  12 Co 2.32-2.54

E_form = 63 meV per atom



# 3
The following is a PBE calculation of an optimized crystal structure of TbHoPd2Pb, from OQMD.

Cell lengths 3.6003, 7.7712, 7.7712 Å; angles 31.88, 90.00, 90.00 degrees
Last column: nearest neighbours and their distance in Å.
Element x y z (fractional)
Tb (0.0000, 0.0000, 0.0000)  6 Pd 2.92-3.15
Ho (0.0000, 0.7291, 0.7291)  6 Pd 2.91-3.13
Pd (0.5000, 0.1732, 0.1732)  2 Pd 2.74, 1 Pb 2.86, 4 Ho 2.91
Pd (0.5000, 0.5581, 0.5581)  2 Pd 2.74, 1 Pb 2.89, 4 Tb 2.92
Pb (0.5000, 0.3646, 0.3646)  2 Pd 2.86-2.89

total DFT energy (no corrections) = -5.466 eV per atom



# 4
The following is a PBE calculation of an optimized crystal structure of TaCdPd, from OQMD.

Cell lengths 4.4064, 4.4064, 4.4064 Å; angles 60.00, 60.00, 60.00 degrees
Last column: nearest neighbours and their distance in Å.
Element x y z (fractional)
Ta (0.0000, 0.0000, 0.0000)  4 Pd 2.70
Cd (0.5000, 0.5000, 0.5000)  4 Pd 2.70
Pd (0.7500, 0.7500, 0.7500)  4 Cd 2.70, 4 Ta 2.70

E_form = 267 meV per atom



# 5
The following is a PBE calculation of an optimized crystal structure of LuZnAgPd, from OQMD.

Cell lengths 4.6932, 4.6932, 4.6932 Å; angles 60.00, 60.00, 60.00 degrees
Last column: nearest neighbours and their distance in Å.
Element x y z (fractional)
Lu (0.0000, 0.0000, 0.0000)  4 Zn 2.87, 4 Ag 2.87
Zn (0.7500, 0.7500, 0.7500)  4 Pd 2.87, 4 Lu 2.87
Ag (0.2500, 0.2500, 0.2500)  4 Pd 2.87, 4 Lu 2.87
Pd (0.5000, 0.5000, 0.5000)  4 Zn 2.87, 4 Ag 2.87

E_form = -400 meV per atom



# 6
The following is a PBE calculation of an optimized crystal structure of NbCdFeAs, from OQMD.

Cell lengths 4.5349, 4.5349, 4.5349 Å; angles 60.00, 60.00, 60.00 degrees
Last column: nearest neighbours and their distance in Å.
Element x y z (fractional)
Nb (0.0000, 0.0000, 0.0000)  4 Cd 2.78, 4 As 2.78
Cd (0.7500, 0.7500, 0.7500)  4 Nb 2.78, 4 Fe 2.78
Fe (0.5000, 0.5000, 0.5000)  4 Cd 2.78, 4 As 2.78
As (0.2500, 0.2500, 0.2500)  4 Nb 2.78, 4 Fe 2.78

total DFT energy (no corrections) = -5.644 eV per atom